Below is ZnW2 after structural relaxation, with properties calculated at the PBE-GGA level.

Output
DOS(E_F): 2.9 states/eV per cell
Formation enthalpy at 0 K: 0.528 eV/atom
Magnetic moment: 0.0 μB per cell
E_tot: -25.6 eV per formula unit

```
ZnW2
1.0
-1.330 1.330 13.561
1.330 -1.330 13.561
1.330 1.330 -13.561
Zn W
2 4
Cartesian
1.330 0.665 3.390
0.000 0.665 10.171
1.330 -0.665 8.034
1.330 -0.665 12.308
0.000 1.996 1.253
0.000 1.996 5.527
```



Below is Zn5W4 after structural relaxation, with properties calculated at the PBE-GGA level.

Output
DOS(E_F): 1.8 states/eV per cell
Formation enthalpy at 0 K: 0.183 eV/atom
Magnetic moment: 0.0 μB per cell
E_tot: -56.5 eV per formula unit

```
Zn5W4
1.0
-4.532 4.532 1.658
4.532 -4.532 1.658
4.532 4.532 -1.658
Zn W
5 4
Cartesian
0.000 0.000 0.000
3.004 3.004 0.000
1.529 -1.529 1.658
-1.529 1.529 1.658
1.529 1.529 1.658
3.014 0.000 0.000
6.050 0.000 0.000
0.000 3.014 0.000
0.000 6.050 0.000
```



Below is Zn3W after structural relaxation, with properties calculated at the PBE-GGA level.

Output
DOS(E_F): 1.9 states/eV per cell
Formation enthalpy at 0 K: 0.146 eV/atom
Magnetic moment: 0.0 μB per cell
E_tot: -16.2 eV per formula unit

```
Zn3W
1.0
2.737 -4.896 0.000
2.737 4.896 0.000
0.000 0.000 4.507
Zn W
6 2
Cartesian
1.354 1.727 3.380
2.737 4.048 3.380
1.354 -1.727 1.127
4.119 1.727 3.380
2.737 -4.048 1.127
4.119 -1.727 1.127
2.737 0.672 1.127
2.737 -0.672 3.380
```